1.
This record from the Alexandria database describes crystalline Np2CuNiS5 at its relaxed geometry. The functional is GGA-PBE.

Results
The value obtained for the total moment is 5.557 μB per formula unit. As for the total energy: -7.13 eV/atom. The formation energy (no corrections) comes out at -0.87 eV per atom. The space group is Cmc2_1.

Unit cell a=3.732 b=8.444 c=10.285 alpha=90.00 beta=90.00 gamma=102.77
Last column: magnetic moment on the atom in μB.
Sites, in units of the cell vectors:
1 Np 0.892 0.784 0.791  3.51
2 Np 0.126 0.253 0.692  3.43
3 Np 0.108 0.216 0.291  3.51
4 Np 0.874 0.747 0.192  3.43
5 Cu 0.592 0.184 0.992  -0.12
6 Cu 0.408 0.816 0.492  -0.12
7 Ni 0.785 0.570 0.498  -0.72
8 Ni 0.215 0.430 0.998  -0.72
9 S 0.355 0.711 0.995  -0.15
10 S 0.713 0.425 0.845  -0.13
11 S 0.520 0.039 0.795  -0.14
12 S 0.300 0.600 0.651  -0.13
13 S 0.978 0.955 0.565  -0.15
14 S 0.645 0.289 0.495  -0.15
15 S 0.287 0.575 0.345  -0.13
16 S 0.480 0.961 0.295  -0.14
17 S 0.700 0.400 0.151  -0.13
18 S 0.022 0.045 0.065  -0.15

2.
This record from the Alexandria database describes crystalline Np2CuSi4Ni3 at its relaxed geometry. The functional is GGA-PBE.

Results
The value obtained for the total moment is 7.078 μB per formula unit. As for the total energy: -7.38 eV/atom. The formation energy (no corrections) comes out at -0.48 eV per atom. The space group is P-4m2.

Unit cell a=3.984 b=3.984 c=9.521 alpha=90.00 beta=90.00 gamma=90.00
Last column: magnetic moment on the atom in μB.
Sites, in units of the cell vectors:
1 Np 0.500 0.000 0.248  3.45
2 Np 0.000 0.500 0.752  3.45
3 Cu 0.500 0.500 0.500  0.01
4 Si 0.500 0.500 0.000  -0.02
5 Si 0.000 0.000 0.000  -0.02
6 Si 0.500 0.000 0.637  -0.03
7 Si 0.000 0.500 0.363  -0.03
8 Ni 0.000 0.000 0.500  -0.02
9 Ni 0.500 0.000 0.878  0.01
10 Ni 0.000 0.500 0.122  0.01

3.
This record from the Alexandria database describes crystalline NpCuNiSn at its relaxed geometry. The functional is GGA-PBE.

Results
The value obtained for the total moment is 3.640 μB per formula unit. As for the total energy: -6.74 eV/atom. As for the energy of formation: -0.032 eV/atom. The space group is F-43m.

Unit cell a=4.660 b=4.660 c=4.660 alpha=60.00 beta=60.00 gamma=60.00
Last column: magnetic moment on the atom in μB.
Sites, in units of the cell vectors:
1 Np 0.750 0.750 0.750  3.62
2 Ni 0.500 0.500 0.500  -0.22
3 Sn 0.250 0.250 0.250  -0.01
4 Cu 0.000 0.000 0.000  0.03

4.
This record from the Alexandria database describes crystalline NpUCuNi at its relaxed geometry. The functional is GGA-PBE.

Results
The value obtained for the total moment is 6.061 μB per formula unit. As for the total energy: -8.52 eV/atom. As for the energy of formation: 0.009 eV/atom. The space group is F-43m.

Unit cell a=4.554 b=4.554 c=4.554 alpha=60.00 beta=60.00 gamma=60.00
Last column: magnetic moment on the atom in μB.
Sites, in units of the cell vectors:
1 Np 0.000 0.000 0.000  3.72
2 Ni 0.500 0.500 0.500  0.17
3 U 0.750 0.750 0.750  2.15
4 Cu 0.250 0.250 0.250  0.03